# 1
Compound: Tb12Y3Pu
Source: the Alexandria database
Functional: PBE-GGA
Structure: relaxed

Results
M_tot = 6.17 μB per formula unit
formation enthalpy at 0 K = 0.04 eV/atom
DOS(E_F) = 27.95 states/eV/f.u.
raw total energy = -88.632 eV per cell
calculated volume = 31.710 Å³ per atom

a b c (Å): 5.027 5.027 20.080
angles (deg): 90.00 90.00 90.00
Space group P4/mmm (No. 123)
One atom of each set of equivalent atoms:
Tb1 0.000 0.000 0.000 (multiplicity 1)
Tb2 0.000 0.000 0.249 (multiplicity 2)
Tb3 0.000 0.000 0.500 (multiplicity 1)
Tb4 0.000 0.500 0.121 (multiplicity 4)
Tb5 0.000 0.500 0.374 (multiplicity 4)
Y1 0.500 0.500 0.248 (multiplicity 2)
Y2 0.500 0.500 0.500 (multiplicity 1)
Pu1 0.500 0.500 0.000 (multiplicity 1)

---

# 2
Compound: Tb2Y8Pu
Source: the Alexandria database
Functional: PBE-GGA
Structure: relaxed

Results
M_tot = 7.98 μB per formula unit
formation enthalpy at 0 K = 0.16 eV/atom
DOS(E_F) = 19.68 states/eV/f.u.
raw total energy = -147.077 eV per cell
calculated volume = 32.872 Å³ per atom

a b c (Å): 11.071 7.024 10.772
angles (deg): 90.00 120.31 90.00
Space group C2/m (No. 12)
One atom of each set of equivalent atoms:
Tb1 0.175 0.000 0.087 (multiplicity 4)
Y1 0.016 0.247 0.771 (multiplicity 8)
Y2 0.179 0.500 0.126 (multiplicity 4)
Y3 0.185 0.500 0.554 (multiplicity 4)
Pu1 0.000 0.000 0.500 (multiplicity 2)

---

# 3
Compound: Tb2Y5Pu
Source: the Alexandria database
Functional: PBE-GGA
Structure: relaxed

Results
M_tot = 6.66 μB per formula unit
formation enthalpy at 0 K = 0.10 eV/atom
DOS(E_F) = 18.23 states/eV/f.u.
raw total energy = -220.525 eV per cell
calculated volume = 31.642 Å³ per atom

a b c (Å): 6.752 11.050 13.894
angles (deg): 90.00 102.37 90.00
Space group C2/c (No. 15)
One atom of each set of equivalent atoms:
Tb1 0.246 0.023 0.475 (multiplicity 8)
Y1 0.000 0.486 0.750 (multiplicity 4)
Y2 0.124 0.245 0.098 (multiplicity 8)
Y3 0.146 0.213 0.654 (multiplicity 8)
Pu1 0.000 0.055 0.250 (multiplicity 4)

---

# 4
Compound: TbPuZn4
Source: the Alexandria database
Functional: PBE-GGA
Structure: relaxed

Results
M_tot = 5.36 μB per formula unit
energy above the lowest structure with this stoichiometry = 0.000 eV per atom
formation enthalpy at 0 K = -0.22 eV/atom
DOS(E_F) = 10.07 states/eV/f.u.
raw total energy = -101.544 eV per cell
calculated volume = 19.313 Å³ per atom

a b c (Å): 7.739 7.739 7.739
angles (deg): 90.00 90.00 90.00
Space group F-43m (No. 216)
One atom of each set of equivalent atoms:
Tb1 0.000 0.000 0.000 (multiplicity 4)
Pu1 0.250 0.250 0.750 (multiplicity 4)
Zn1 0.125 0.125 0.375 (multiplicity 16)

---

# 5
Compound: TbPuZn4
Source: the Alexandria database
Functional: PBE-GGA
Structure: relaxed

Results
M_tot = 6.34 μB per formula unit
energy above the lowest structure with this stoichiometry = 0.072 eV per atom
formation enthalpy at 0 K = -0.15 eV/atom
DOS(E_F) = 13.01 states/eV/f.u.
raw total energy = -49.909 eV per cell
calculated volume = 21.482 Å³ per atom

a b c (Å): 4.093 4.093 15.389
angles (deg): 90.00 90.00 90.00
Space group I-4m2 (No. 119)
One atom of each set of equivalent atoms:
Tb1 0.000 0.000 0.000 (multiplicity 2)
Pu1 0.000 0.500 0.750 (multiplicity 2)
Zn1 0.000 0.000 0.419 (multiplicity 4)
Zn2 0.000 0.500 0.168 (multiplicity 4)

---

# 6
Compound: Tb3PuZn4
Source: the Alexandria database
Functional: PBE-GGA
Structure: relaxed

Results
M_tot = 6.48 μB per formula unit
formation enthalpy at 0 K = -0.26 eV/atom
DOS(E_F) = 10.68 states/eV/f.u.
raw total energy = -35.401 eV per cell
calculated volume = 22.899 Å³ per atom

a b c (Å): 3.574 3.574 14.344
angles (deg): 90.00 90.00 90.00
Space group P4/mmm (No. 123)
One atom of each set of equivalent atoms:
Tb1 0.000 0.000 0.000 (multiplicity 1)
Tb2 0.000 0.000 0.249 (multiplicity 2)
Pu1 0.000 0.000 0.500 (multiplicity 1)
Zn1 0.500 0.500 0.125 (multiplicity 2)
Zn2 0.500 0.500 0.371 (multiplicity 2)